WBr2O4 (PBE+U, optimized geometry); DFT total energy = -34.7 eV/cell; total magnetization = 0.0037 μB per atom; mass density = 6.4 g/cm³
1.0
-2.025 2.025 6.451
2.025 -2.025 6.451
2.025 2.025 -6.451
W Br O
1 2 4
Cartesian
0.000 0.000 0.000
0.000 0.000 3.695
0.000 0.000 9.207
2.025 0.000 0.000
0.000 0.000 1.900
0.000 2.025 0.000
0.000 0.000 11.002